1.
Below is a geometry-optimized SrPm2Ag structure, with properties calculated at the PBE level.

Structure (POSCAR):
```
SrPm2Ag
1.0
3.695 0.000 0.000
-1.848 3.200 0.000
0.000 0.000 35.572
Sr Pm Ag
3 6 3
Direct
0.000 0.000 0.000 Sr
0.333 0.667 0.667 Sr
0.667 0.333 0.333 Sr
0.000 0.000 0.102 Pm
0.000 0.000 0.898 Pm
0.333 0.667 0.565 Pm
0.333 0.667 0.768 Pm
0.667 0.333 0.232 Pm
0.667 0.333 0.435 Pm
0.000 0.000 0.500 Ag
0.333 0.667 0.167 Ag
0.667 0.333 0.833 Ag
```

Values from the calculation:
DOS(E_F), states/eV per atom: 1.509
Energy of formation from the pure elements, eV/atom: 0.209
Relative energy among the computed polymorphs, meV/atom: 214

---

2.
Below is a geometry-optimized Pm6Os2SI3 structure, with properties calculated at the PBE level.

Structure (POSCAR):
```
Pm6Os2SI3
1.0
3.644 -6.309 0.000
3.644 6.309 0.000
-2.426 0.000 7.955
Pm Os S I
6 2 1 3
Direct
0.091 0.439 0.814 Pm
0.214 0.214 0.186 Pm
0.439 0.091 0.814 Pm
0.561 0.909 0.186 Pm
0.786 0.786 0.814 Pm
0.909 0.561 0.186 Pm
0.167 0.833 0.000 Os
0.833 0.167 0.000 Os
0.500 0.500 0.000 S
0.000 0.000 0.500 I
0.335 0.665 0.500 I
0.665 0.335 0.500 I
```

Values from the calculation:
Formation energy from raw total energies, kJ/mol of formula units: -1040
DOS(E_F), states/eV per atom: 0.824